No. 1
CrSiP2Cl | meta-GGA SCAN | PBEsol geometry

Cell: 4.399 4.399 4.708 Å, 90.00 90.00 90.00°
Space group P4/mmm (No. 123)
Symmetry-distinct sites (fractional):
Cr: 0.000 0.000 0.000 [1 per cell]
Si: 0.500 0.500 0.500 [1 per cell]
P: 0.000 0.500 0.000 [2 per cell]
Cl: 0.000 0.000 0.500 [1 per cell]

Output
E ... -10.88 eV/atom
ΔE_f (raw) ... 0.552 eV/atom
Size of the total moment ... 0.39 μB/atom


No. 2
TaZnHg2 | meta-GGA SCAN | PBEsol geometry

Cell: 2.930 4.142 5.978 Å, 90.00 90.00 90.00°
Space group Pmmm (No. 47)
Symmetry-distinct sites (fractional):
Ta: 0.000 0.000 0.000 [1 per cell]
Zn: 0.000 0.000 0.500 [1 per cell]
Hg: 0.500 0.500 0.252 [2 per cell]

Output
E ... -53.70 eV/atom
E_form ... 9.37 kcal/mol of atoms
Size of the total moment ... 0.00 μB/atom


No. 3
Ag2POs | meta-GGA SCAN | PBEsol geometry

Cell: 2.8932 2.8932 25.7081 Å, 90.00 90.00 120.00°
Space group R3m (No. 160, hexagonal axes)
Symmetry-distinct sites (fractional):
Ag: 0.0000 0.0000 0.0000 [3 per cell]
Ag: 0.0000 0.0000 0.2435 [3 per cell]
P: 0.0000 0.0000 0.4867 [3 per cell]
Os: 0.0000 0.0000 0.7581 [3 per cell]

Output
E ... -36.09 eV/atom
E_form ... 3.71 kcal/mol of atoms
Size of the total moment ... 0.00 μB/atom


No. 4
Ca3Mg | meta-GGA SCAN | PBEsol geometry

Cell: 6.587 6.587 6.587 Å, 90.00 90.00 90.00°
Space group Pm-3n (No. 223)
Symmetry-distinct sites (fractional):
Ca: 0.000 0.250 0.500 [6 per cell]
Mg: 0.000 0.000 0.000 [2 per cell]

Output
E ... -8.46 eV/atom
E_form ... 0.74 kcal/mol of atoms
Size of the total moment ... 0.09 μB/atom


No. 5
SbAs3Pt | meta-GGA SCAN | PBEsol geometry

Cell: 5.066 5.066 5.066 Å, 90.00 90.00 90.00°
Space group Pm-3m (No. 221)
Symmetry-distinct sites (fractional):
Sb: 0.000 0.000 0.000 [1 per cell]
As: 0.000 0.000 0.500 [3 per cell]
Pt: 0.500 0.500 0.500 [1 per cell]

Output
E ... -32.00 eV/atom
ΔE_f (raw) ... 1.604 eV/atom
Size of the total moment ... 0.00 μB/atom


No. 6
CdSb2Cl | meta-GGA SCAN | PBEsol geometry

Cell: 4.881 4.636 5.230 Å, 90.00 112.04 90.00°
Space group P2/m (No. 10)
Symmetry-distinct sites (fractional):
Cd: 0.000 0.000 0.000 [1 per cell]
Sb: 0.192 0.500 0.805 [2 per cell]
Cl: 0.500 0.000 0.500 [1 per cell]

Output
Energy above the most stable polymorph in this dataset ... 0.000 eV/atom
E ... -28.47 eV/atom
ΔE_f (raw) ... -0.244 eV/atom
Size of the total moment ... 0.00 μB/atom


No. 7
InPSN2 | meta-GGA SCAN | PBEsol geometry

Cell: 4.111 4.111 5.273 Å, 90.00 90.00 90.00°
Space group P4/mmm (No. 123)
Symmetry-distinct sites (fractional):
In: 0.000 0.000 0.000 [1 per cell]
P: 0.500 0.500 0.500 [1 per cell]
S: 0.000 0.000 0.500 [1 per cell]
N: 0.000 0.500 0.000 [2 per cell]

Output
E ... -12.71 eV/atom
ΔE_f (raw) ... 1.687 eV/atom
Size of the total moment ... 0.51 μB/atom


No. 8
KTl2In2 | meta-GGA SCAN | PBEsol geometry

Cell: 4.811 4.811 13.180 Å, 90.00 90.00 90.00°
Space group I4/mmm (No. 139)
Symmetry-distinct sites (fractional):
K: 0.000 0.000 0.000 [2 per cell]
Tl: 0.000 0.000 0.388 [4 per cell]
In: 0.000 0.500 0.250 [4 per cell]

Output
Energy above the most stable polymorph in this dataset ... 0.000 eV/atom
E ... -44.13 eV/atom
E_form ... -3.75 kcal/mol of atoms
Size of the total moment ... 0.00 μB/atom


No. 9
MnAlCl | meta-GGA SCAN | PBEsol geometry

Cell: 3.102 5.226 12.251 Å, 90.00 90.00 90.00°
Space group Fmm2 (No. 42)
Symmetry-distinct sites (fractional):
Mn: 0.000 0.000 0.000 [4 per cell]
Al: 0.000 0.000 0.657 [4 per cell]
Cl: 0.000 0.000 0.348 [4 per cell]

Output
E ... -11.54 eV/atom
ΔE_f (raw) ... -0.208 eV/atom
Size of the total moment ... 1.24 μB/atom


No. 10
HOs3Se | meta-GGA SCAN | PBEsol geometry

Cell: 3.937 3.937 3.937 Å, 90.00 90.00 90.00°
Space group Pm-3m (No. 221)
Symmetry-distinct sites (fractional):
H: 0.000 0.000 0.000 [1 per cell]
Os: 0.000 0.000 0.500 [3 per cell]
Se: 0.500 0.500 0.500 [1 per cell]

Output
E ... -46.80 eV/atom
Size of the total moment ... 0.00 μB/atom